VASP calculation (GGA+U) on a relaxed structure of RbV2FeO6.

Geometry as POSCAR:
```
RbV2FeO6
1.0
5.515 -5.916 0.000
5.515 5.916 0.000
-2.176 0.000 5.690
Rb V Fe O
2 4 2 12
Cartesian
3.883 4.586 4.267
4.971 -4.586 1.422
1.419 0.978 4.785
2.507 -0.978 1.940
6.347 0.978 3.750
7.435 -0.978 0.905
4.971 3.032 1.422
3.883 -3.032 4.267
-0.133 1.493 4.215
2.455 2.263 5.344
0.955 -1.493 1.370
2.184 0.122 3.358
3.272 -0.122 0.513
5.312 2.263 3.191
3.543 -2.263 2.499
5.583 0.122 5.176
6.671 -0.122 2.331
7.899 1.493 4.319
6.399 -2.263 0.346
8.987 -1.493 1.475
```

Its space group is C2/c (15). For the calculated total energy, the calculation gives -138.657 eV per cell. The volume comes out at 371.3 Å³/cell.